The following is a GGA-PBE calculation of a geometry-optimized Pr5Y3Sc structure, from Alexandria via LeMat-Bulk.

Cell: 9.522 9.522 13.814 Å, 90.00 90.00 90.00°
Space group I4/mcm (No. 140)
Inequivalent atoms, fractional coordinates:
Pr: 0.000 0.000 0.000
Pr: 0.196 0.304 0.135
Y: 0.000 0.000 0.250
Y: 0.110 0.390 0.500
Sc: 0.000 0.500 0.250



The following is a GGA-PBE calculation of a geometry-optimized Pr6Y3Sc2 structure, from Alexandria via LeMat-Bulk.

Cell: 6.251 10.841 11.349 Å, 90.00 100.60 90.00°
Space group C2/m (No. 12)
Inequivalent atoms, fractional coordinates:
Pr: 0.244 0.165 0.235
Pr: 0.248 0.500 0.235
Y: 0.000 0.167 0.500
Y: 0.000 0.500 0.500
Sc: 0.000 0.333 0.000



The following is a GGA-PBE calculation of a geometry-optimized Pr4Y7Sc structure, from Alexandria via LeMat-Bulk.

E above lowest polymorph   90 meV per atom

Cell: 11.583 5.378 13.277 Å, 90.00 104.45 90.00°
Space group C2/m (No. 12)
Inequivalent atoms, fractional coordinates:
Pr: 0.038 0.000 0.284
Pr: 0.179 0.500 0.762
Y: 0.000 0.500 0.500
Y: 0.088 0.500 0.129
Y: 0.138 0.000 0.965
Y: 0.234 0.500 0.401
Sc: 0.000 0.000 0.500



Results for N(E_F): 56.2, 29.2, 34.6 (in states/eV/cell, following the order of the records).
Results for formation energy from the elements: 0.314, 0.188, 0.181 (in eV/atom, following the order of the records).
Results for density: 5.4, 5.3, 5.1 (in g/cm3, following the order of the records).